[1]
Below is ErTl2 after structural relaxation, with properties calculated at the PBE level.

POSCAR file:
```
ErTl2
1.0
-0.756 3.061 5.249
-5.089 3.276 0.928
-4.158 -1.893 4.077
Tl Er
4 2
direct
0.125 0.625 0.625
0.625 0.125 0.625
0.625 0.625 0.125
0.625 0.625 0.625
0.000 0.000 0.000
0.250 0.250 0.250
```

Summary:
The uncorrected energy is -3.073 eV per atom. The calculation puts the calculated density at 11.79 g/cm3. The crystal system is cubic.



[2]
Below is BeAlSiIr after structural relaxation, with properties calculated at the PBE level.

POSCAR file:
```
BeAlSiIr
1.0
2.659 2.704 1.721
-0.656 1.388 3.871
2.497 -1.222 3.101
Al Si Be Ir
1 1 1 1
direct
0.000 0.000 0.000
0.500 0.500 0.500
0.750 0.750 0.750
0.250 0.250 0.250
```

Summary:
The value obtained for the energy above the most stable polymorph in this dataset is 0.000 eV/atom. The uncorrected energy is -5.608 eV per atom. The calculation puts the calculated density at 8.34 g/cm3. The crystal system is cubic.



[3]
Below is PrAgB4 after structural relaxation, with properties calculated at the PBE level.

POSCAR file:
```
PrAgB4
1.0
3.251 0.000 0.000
-1.626 2.816 0.000
0.000 0.000 7.620
B Ag Pr
4 1 1
direct
0.667 0.333 0.268
0.333 0.667 0.268
0.333 0.667 0.732
0.667 0.333 0.732
0.000 0.000 0.500
0.000 0.000 0.000
```

Summary:
The value obtained for the energy above the most stable polymorph in this dataset is 0.089 eV/atom. The uncorrected energy is -5.535 eV per atom. The calculation puts the calculated density at 6.95 g/cm3. The crystal system is hexagonal.



[4]
Below is ZrPaFe after structural relaxation, with properties calculated at the PBE level.

POSCAR file:
```
ZrPaFe
1.0
2.729 -0.584 3.496
-1.403 -2.296 3.574
1.694 -4.049 0.864
Zr Pa Fe
1 1 1
direct
0.250 0.250 0.250
0.750 0.750 0.750
0.000 0.000 0.000
```

Summary:
The value obtained for the energy above the most stable polymorph in this dataset is 0.000 eV/atom. The uncorrected energy is -8.620 eV per atom. The calculation puts the calculated density at 9.92 g/cm3. The crystal system is cubic. The energy of formation from the pure elements comes out at 0.5 eV per formula unit.



[5]
Below is Tb2Cd after structural relaxation, with properties calculated at the PBE level.

POSCAR file:
```
Tb2Cd
1.0
4.609 2.661 7.526
-4.609 2.661 7.526
0.000 -5.321 7.526
Tb Cd
4 2
direct
0.375 0.375 0.375
0.375 0.875 0.375
0.375 0.375 0.875
0.875 0.375 0.375
0.250 0.250 0.250
0.500 0.500 0.500
```

Summary:
The uncorrected energy is -1.768 eV per atom. The calculation puts the calculated density at 2.58 g/cm3. The crystal system is cubic. The energy of formation from the pure elements comes out at 4.9 eV per formula unit.



[6]
Below is LaMgScPt after structural relaxation, with properties calculated at the PBE level.

POSCAR file:
```
LaMgScPt
1.0
1.457 -0.187 4.859
-2.542 2.636 3.515
-2.862 -2.429 3.417
Pt La Mg Sc
1 1 1 1
direct
0.250 0.250 0.250
0.500 0.500 0.500
0.750 0.750 0.750
0.000 0.000 0.000
```

Summary:
The value obtained for the energy above the most stable polymorph in this dataset is 0.000 eV/atom. The uncorrected energy is -5.209 eV per atom. The calculation puts the calculated density at 7.24 g/cm3. The crystal system is cubic.



[7]
Below is Sr2TaIrN2O4 after structural relaxation, with properties calculated at the PBE level.

POSCAR file:
```
Sr2TaIrN2O4
1.0
-2.066 -4.771 -2.172
4.806 -2.676 1.266
-2.961 -1.969 7.136
N O Sr Ta Ir
4 8 4 2 2
direct
0.509 0.977 0.752
0.238 0.767 0.011
0.765 0.239 0.509
0.997 0.529 0.748
0.726 0.727 0.021
0.727 0.727 0.480
0.262 0.266 0.517
0.007 0.466 0.250
0.230 0.769 0.483
0.494 0.032 0.249
0.268 0.263 0.983
0.771 0.230 0.990
0.996 0.006 0.250
0.505 0.495 0.752
0.492 0.496 0.252
0.011 0.010 0.751
0.008 0.512 0.998
0.510 0.006 0.504
0.991 0.494 0.511
0.494 0.991 0.990
```

Summary:
The value obtained for the energy above the most stable polymorph in this dataset is 0.010 eV/atom. The uncorrected energy is -7.789 eV per atom. The calculation puts the calculated density at 8.39 g/cm3. The crystal system is triclinic.



[8]
Below is Pr2HoMg3Tl2Zn after structural relaxation, with properties calculated at the PBE level.

POSCAR file:
```
Pr2HoMg3Tl2Zn
1.0
-0.022 -3.644 2.933
6.635 -2.308 -2.818
-0.019 4.746 5.896
Pr Mg Tl Zn Ho
2 3 2 1 1
direct
0.000 0.588 0.998
0.000 0.998 0.588
0.500 0.236 0.001
0.500 0.767 0.767
0.500 0.001 0.236
0.500 0.659 0.335
0.500 0.335 0.659
0.000 0.010 0.010
0.000 0.407 0.407
```

Summary:
The uncorrected energy is -3.082 eV per atom. The calculation puts the calculated density at 7.04 g/cm3. The crystal system is orthorhombic.



[9]
Below is LaNdIr2N2O2 after structural relaxation, with properties calculated at the PBE level.

POSCAR file:
```
LaNdIr2N2O2
1.0
-2.695 0.962 -2.827
-1.732 -3.605 0.426
-4.617 2.853 5.373
Ir O Nd N La
2 2 1 2 1
direct
0.500 0.000 0.503
0.000 0.500 0.503
0.500 0.000 0.998
0.000 0.500 0.998
0.500 0.500 0.845
0.000 0.000 0.585
0.500 0.500 0.408
0.000 0.000 0.161
```

Summary:
The uncorrected energy is -7.911 eV per atom. The calculation puts the calculated density at 9.78 g/cm3. The crystal system is tetragonal.



[10]
Below is Sc2NiPd after structural relaxation, with properties calculated at the PBE level.

POSCAR file:
```
Sc2NiPd
1.0
0.000 3.181 3.181
3.181 0.000 3.181
3.181 3.181 0.000
Sc Pd Ni
2 1 1
direct
0.750 0.750 0.750
0.000 0.000 0.000
0.500 0.500 0.500
0.250 0.250 0.250
```

Summary:
The uncorrected energy is -6.246 eV per atom. The calculation puts the calculated density at 6.58 g/cm3. The crystal system is cubic. The energy of formation from the pure elements comes out at -1.6 eV per formula unit.



[11]
Below is HoMgNO after structural relaxation, with properties calculated at the PBE level.

POSCAR file:
```
HoMgNO
1.0
-1.772 -3.069 0.000
0.000 0.000 5.594
-5.241 3.026 0.000
Mg O N Ho
2 2 2 2
direct
0.000 0.999 0.654
0.000 0.499 0.346
0.500 0.395 0.176
0.500 0.895 0.824
0.000 0.363 0.660
0.000 0.863 0.340
0.500 0.498 0.822
0.500 0.998 0.178
```

Summary:
The value obtained for the energy above the most stable polymorph in this dataset is 0.125 eV/atom. The uncorrected energy is -6.845 eV per atom. The calculation puts the calculated density at 6.07 g/cm3. The crystal system is orthorhombic.



[12]
Below is Hf3Zr3NiBi2 after structural relaxation, with properties calculated at the PBE level.

POSCAR file:
```
Hf3Zr3NiBi2
1.0
-1.504 2.727 -7.225
-5.912 -1.271 5.034
0.312 3.453 1.239
Bi Zr Ni Hf
2 3 1 3
direct
0.667 0.333 0.500
0.333 0.667 0.500
0.000 0.607 0.000
0.607 0.000 0.000
0.393 0.393 0.000
0.000 0.000 0.000
0.234 0.000 0.500
0.766 0.766 0.500
0.000 0.234 0.500
```

Summary:
The value obtained for the energy above the most stable polymorph in this dataset is 0.000 eV/atom. The uncorrected energy is -8.055 eV per atom. The calculation puts the calculated density at 10.82 g/cm3. The crystal system is hexagonal.